{
  "formula": "Ho2PdO",
  "functional": "PBE",
  "state": "optimized geometry",
  "cell": [[1.664, 0.960, 8.076], [-1.664, 0.960, 8.076], [0.000, -1.921, 8.076]],
  "species": ["Ho", "Ho", "Pd", "O"],
  "frac_coords": [[0.108, 0.108, 0.108], [0.892, 0.892, 0.892], [0.000, 0.000, 0.000], [0.500, 0.500, 0.500]],
  "n_ef_per_ev_atom": 0.42,
  "m_tot_mub_per_fu": 0.0,
  "e_form_raw_ev_per_atom": -1.28,
  "spacegroup": "R-3m, No. 166",
  "de_polymorph_mev_per_atom": 509
}